1.
# Cs2RbTl2Se4, optimized geometry, DFT PBE
data_Cs2RbTl2Se4
_chemical_formula_sum 'Cs4 Rb2 Tl4 Se8'
_space_group_name_H-M_alt 'C 1 2/m 1'
_space_group_IT_number 12
_cell_length_a 18.114
_cell_length_b 5.301
_cell_length_c 7.783
_cell_angle_alpha 90.00
_cell_angle_beta 109.13
_cell_angle_gamma 90.00
loop_
_space_group_symop_operation_xyz
'x,y,z'
'-x,-y,-z'
'-x,y,-z'
'x,-y,z'
'x+1/2,y+1/2,z'
'-x+1/2,-y+1/2,-z'
'-x+1/2,y+1/2,-z'
'x+1/2,-y+1/2,z'
loop_
_atom_site_label
_atom_site_fract_x
_atom_site_fract_y
_atom_site_fract_z
Cs1 0.140 0.000 0.062
Rb1 0.000 0.000 0.500
Tl1 0.164 0.500 0.483
Se1 0.022 0.500 0.174
Se2 0.205 0.000 0.660
# ρ: 5060 kg/m3

---

2.
# Cs2RbUSe4, optimized geometry, DFT PBE
data_Cs2RbUSe4
_chemical_formula_sum 'Cs2 Rb1 U1 Se4'
_space_group_name_H-M_alt 'P 1 2/m 1'
_space_group_IT_number 10
_cell_length_a 8.373
_cell_length_b 4.449
_cell_length_c 8.674
_cell_angle_alpha 90.00
_cell_angle_beta 108.41
_cell_angle_gamma 90.00
loop_
_space_group_symop_operation_xyz
'x,y,z'
'-x,-y,-z'
'-x,y,-z'
'x,-y,z'
loop_
_atom_site_label
_atom_site_fract_x
_atom_site_fract_y
_atom_site_fract_z
Cs1 0.000 0.000 0.000
Cs2 0.500 0.500 0.000
Rb1 0.000 0.500 0.500
U1 0.500 0.000 0.500
Se1 0.301 0.000 0.687
Se2 0.311 0.500 0.316
# ρ: 4903 kg/m3

---

3.
# Cs2RbU2Se5, optimized geometry, DFT PBE
data_Cs2RbU2Se5
_chemical_formula_sum 'Cs4 Rb2 U4 Se10'
_space_group_name_H-M_alt 'P 4/m b m'
_space_group_IT_number 127
_space_group_name_Hall '-P 4 2ab'
_cell_length_a 13.363
_cell_length_b 13.363
_cell_length_c 3.823
_cell_angle_alpha 90.00
_cell_angle_beta 90.00
_cell_angle_gamma 90.00
loop_
_atom_site_label
_atom_site_fract_x
_atom_site_fract_y
_atom_site_fract_z
Cs1 0.182 0.318 0.000
Rb1 0.000 0.000 0.000
U1 0.117 0.617 0.000
Se1 0.000 0.500 0.500
Se2 0.071 0.770 0.500
# ρ: 5945 kg/m3

---

Let's list raw total energy in order: -3.15, -4.69, -5.43 eV per atom.
Let's list calculated volume in order: 39.2, 38.3, 34.1 A^3/atom.
Let's list DOS at the Fermi energy in order: 0.024, 0.651, 0.941 states/eV/atom.